(1)
First-principles (PBE) data for K2TaGaO5 after structural relaxation, as listed in the Alexandria database.

```
data_K2TaGaO5
_symmetry_space_group_name_H-M 'P 1'
_symmetry_Int_Tables_number 1
_symmetry_space_group_name_Hall 'P 1'
_cell_length_a 7.756
_cell_length_b 7.756
_cell_length_c 12.446
_cell_angle_alpha 90.00
_cell_angle_beta 90.00
_cell_angle_gamma 156.30
loop_
_atom_site_label
_atom_site_type_symbol
_atom_site_fract_x
_atom_site_fract_y
_atom_site_fract_z
K1 K 0.065 0.935 0.500
K2 K 0.133 0.867 0.177
K3 K 0.867 0.133 0.677
K4 K 0.935 0.065 0.000
Ta1 Ta 0.218 0.782 0.889
Ta2 Ta 0.782 0.218 0.389
Ga1 Ga 0.431 0.569 0.269
Ga2 Ga 0.569 0.431 0.769
O1 O 0.073 0.927 0.857
O2 O 0.292 0.708 0.487
O3 O 0.301 0.699 0.277
O4 O 0.336 0.664 0.865
O5 O 0.493 0.507 0.151
O6 O 0.507 0.493 0.651
O7 O 0.664 0.336 0.365
O8 O 0.699 0.301 0.777
O9 O 0.708 0.292 0.987
O10 O 0.927 0.073 0.357
```

***

(2)
First-principles (PBE) data for ErCdGe after structural relaxation, as listed in the Alexandria database.

```
data_ErCdGe
_symmetry_space_group_name_H-M 'P 1'
_symmetry_Int_Tables_number 1
_symmetry_space_group_name_Hall 'P 1'
_cell_length_a 4.723
_cell_length_b 4.723
_cell_length_c 3.407
_cell_angle_alpha 90.00
_cell_angle_beta 90.00
_cell_angle_gamma 120.00
loop_
_atom_site_label
_atom_site_type_symbol
_atom_site_fract_x
_atom_site_fract_y
_atom_site_fract_z
Er1 Er 0.000 0.000 0.000
Cd1 Cd 0.333 0.667 0.496
Ge1 Ge 0.667 0.333 0.510
```

***

Record-wise D(E_F) values, in states/eV per cell: 0.00; 1.37
Record-wise E values, in Ry/atom: -0.5005; -0.2747